VASP calculation (PBE-GGA) on a relaxed structure of Pm3Er4Pd4.

a b c (Å): 8.939 8.939 8.939
angles (deg): 149.25 129.73 60.09
Fractional coordinates of all 11 atoms:
Pm  0.000  0.000  0.000
Pm  0.397  0.897  0.500
Pm  0.603  0.103  0.500
Er  0.043  0.327  0.716
Er  0.388  0.673  0.716
Er  0.612  0.327  0.284
Er  0.957  0.673  0.284
Pd  0.205  0.205  0.000
Pd  0.314  0.500  0.814
Pd  0.686  0.500  0.186
Pd  0.795  0.795  0.000

spin magnetization	0.0	μB/f.u.
energy relative to the elements	-0.588	eV/atom
E	-59.74	eV for the cell shown